VASP calculation (PBE) on a relaxed Na5Tl5Pb2 crystal.

The space group is C2/m (No. 12) and the conventional cell measures 14.090, 4.984 and 10.904 Å, with angles of 90.00, 115.21 and 90.00 degrees. Symmetry generates all atoms from Na at (0.000, 0.000, 0.000), Na at (0.088, 0.000, 0.754), Na at (0.162, 0.000, 0.495), Tl at (0.000, 0.500, 0.500), Tl at (0.164, 0.500, 0.995), Tl at (0.248, 0.000, 0.257) and Pb at (0.090, 0.500, 0.251).

For the energy above the lowest structure with this stoichiometry, the calculation gives 5 meV/atom. For the total energy, the calculation gives -54.3 eV per cell. As for the total magnetic moment: 0.00 μB per atom.